No. 1
VASP calculation (GGA-PBE) on a relaxed LiMgAgBi crystal.

```
LiMgAgBi
1.0
4.952 0.000 0.000
2.476 4.289 0.000
2.476 1.430 4.044
Mg Bi Ag Li
1 1 1 1
direct
0.000 0.000 0.000 Mg
0.750 0.750 0.750 Bi
0.250 0.250 0.250 Ag
0.500 0.500 0.500 Li
```

Values from the calculation:
ρ ... 6.73 g/cm3
Magnetic moment ... 0.0 μB/cell



No. 2
VASP calculation (GGA-PBE) on a relaxed LiMnAgBi crystal.

```
LiMnAgBi
1.0
4.778 0.000 0.000
2.389 4.138 0.000
2.389 1.379 3.901
Mn Bi Ag Li
1 1 1 1
direct
0.250 0.250 0.250 Mn
0.500 0.500 0.500 Bi
0.000 0.000 0.000 Ag
0.750 0.750 0.750 Li
```

Values from the calculation:
ρ ... 8.15 g/cm3
Magnetic moment ... 4.1 μB/cell



No. 3
VASP calculation (GGA-PBE) on a relaxed Li2MnAgBi crystal.

```
Li2MnAgBi
1.0
-3.604 0.177 3.186
-2.690 -3.026 -2.876
1.839 -3.813 2.292
Mn Bi Ag Li
1 1 1 2
direct
0.000 0.000 0.000 Mn
0.500 0.500 0.500 Bi
0.000 0.500 0.000 Ag
0.000 0.000 0.500 Li
0.500 0.000 0.000 Li
```

Values from the calculation:
ρ ... 5.57 g/cm3
Magnetic moment ... 4.5 μB/cell



No. 4
VASP calculation (GGA-PBE) on a relaxed NaLiAgBi crystal.

```
NaLiAgBi
1.0
5.003 0.000 0.000
2.502 4.333 0.000
2.502 1.444 4.085
Na Bi Ag Li
1 1 1 1
direct
0.500 0.500 0.500 Na
0.000 0.000 0.000 Bi
0.250 0.250 0.250 Ag
0.750 0.750 0.750 Li
```

Values from the calculation:
ρ ... 6.50 g/cm3
Magnetic moment ... 0.0 μB/cell



No. 5
VASP calculation (GGA-PBE) on a relaxed NaLi2Ag2Bi2 crystal.

```
NaLi2Ag2Bi2
1.0
-3.769 -1.282 2.573
-1.751 -4.388 -0.386
3.453 -4.568 7.150
Na Li Ag Bi
1 2 2 2
direct
0.000 0.000 0.000 Na
0.140 0.140 0.579 Li
0.860 0.860 0.421 Li
0.556 0.556 0.333 Ag
0.444 0.444 0.667 Ag
0.746 0.746 0.763 Bi
0.254 0.254 0.237 Bi
```

Values from the calculation:
ρ ... 6.55 g/cm3
Magnetic moment ... 0.0 μB/cell



No. 6
VASP calculation (GGA-PBE) on a relaxed LiNdAgBi crystal.

```
LiNdAgBi
1.0
5.235 0.000 0.000
2.618 4.534 0.000
2.618 1.511 4.275
Nd Bi Ag Li
1 1 1 1
direct
0.750 0.750 0.750 Nd
0.000 0.000 0.000 Bi
0.500 0.500 0.500 Ag
0.250 0.250 0.250 Li
```

Values from the calculation:
ρ ... 7.66 g/cm3
Magnetic moment ... 0.0 μB/cell



no.,total DFT energy (no corrections) (eV/atom),formation enthalpy at 0 K (kJ/mol of formula units)
1,-2.787,-87.5
2,-4.446,3.1
3,-3.410,258.6
4,-2.783,-112.6
5,-2.925,-179.8
6,-3.796,-170.9